A plane-wave DFT calculation with PBE-GGA was carried out for MnAlW3 after structural relaxation.

Calculated values
- energy relative to the lowest polymorph listed for this composition (meV per atom) = 0.0
- calculated formation energy (eV/atom) = 1.26
- E_tot (eV per atom) = -9.0982
- DOS at the Fermi energy (states/eV/atom) = 0.84

Lattice parameters (Å, degrees): 4.4743 4.4743 4.4743 90.00 90.00 90.00
Fractional coordinates of all 5 atoms:
W: 0.0000 0.0000 0.5000
W: 0.5000 0.0000 0.0000
Al: 0.5000 0.5000 0.5000
Mn: 0.0000 0.0000 0.0000
W: 0.0000 0.5000 0.0000